Entry 1:
First-principles (PBE-GGA) data for an optimized crystal structure of PmEuHoGa, as listed in Alexandria via LeMat-Bulk.

The structure belongs to space group F-43m (No. 216); the cell edges are 7.650, 7.650 and 7.650 Å and the angles 90.00°, 90.00° and 90.00°. The inequivalent atoms are Pm at (0.000, 0.000, 0.000), Eu at (0.250, 0.250, 0.250), Ho at (0.000, 0.000, 0.500) and Ga at (0.250, 0.250, 0.750).

As for the mass density: 7.9 g/cm3. As for the formation energy: -69.9 meV per atom. The density of states at the Fermi level comes out at 1.4228 states/eV/atom. The electronic total energy comes out at -5.73 eV/atom.

=====

Entry 2:
First-principles (PBE-GGA) data for an optimized crystal structure of La4GaI2Br, as listed in Alexandria via LeMat-Bulk.

The structure belongs to space group P2/m (No. 10); the cell edges are 7.477, 4.491 and 8.235 Å and the angles 90.00°, 109.09° and 90.00°. The inequivalent atoms are La at (0.232, 0.000, 0.211), La at (0.257, 0.500, 0.787), Ga at (0.000, 0.500, 0.000), I at (0.000, 0.000, 0.500), I at (0.500, 0.500, 0.500) and Br at (0.500, 0.000, 0.000).

As for the mass density: 6.1 g/cm3. The density of states at the Fermi level comes out at 0.6807 states/eV/atom. The value obtained for the formation energy from raw total energies is -98.0 kJ per mole of atoms. The electronic total energy comes out at -4.45 eV/atom.

=====

Entry 3:
First-principles (PBE-GGA) data for an optimized crystal structure of BaVCr3, as listed in Alexandria via LeMat-Bulk.

The structure belongs to space group Pm-3m (No. 221); the cell edges are 5.047, 5.047 and 5.047 Å and the angles 90.00°, 90.00° and 90.00°. The inequivalent atoms are Ba at (0.000, 0.000, 0.000), V at (0.500, 0.500, 0.500) and Cr at (0.000, 0.000, 0.500).

As for the mass density: 4.4 g/cm3. As for the formation energy: 2727.1 meV per atom. The density of states at the Fermi level comes out at 2.2258 states/eV/atom. As for the distance to the lowest polymorph of the same formula: 1704.1 meV per atom. The electronic total energy comes out at -5.26 eV/atom.

=====

Entry 4:
First-principles (PBE-GGA) data for an optimized crystal structure of LaLuPtRh, as listed in Alexandria via LeMat-Bulk.

The structure belongs to space group F-43m (No. 216); the cell edges are 7.038, 7.038 and 7.038 Å and the angles 90.00°, 90.00° and 90.00°. The inequivalent atoms are La at (0.000, 0.000, 0.000), Lu at (0.000, 0.000, 0.500), Pt at (0.250, 0.250, 0.250) and Rh at (0.250, 0.250, 0.750).

As for the mass density: 11.7 g/cm3. As for the formation energy: -952.5 meV per atom. The density of states at the Fermi level comes out at 0.5389 states/eV/atom. The electronic total energy comes out at -6.66 eV/atom.

=====

Entry 5:
First-principles (PBE-GGA) data for an optimized crystal structure of MnCo3I, as listed in Alexandria via LeMat-Bulk.

The structure belongs to space group Pm-3m (No. 221); the cell edges are 4.300, 4.300 and 4.300 Å and the angles 90.00°, 90.00° and 90.00°. The inequivalent atoms are Mn at (0.000, 0.000, 0.000), Co at (0.000, 0.000, 0.500) and I at (0.500, 0.500, 0.500).

As for the mass density: 7.5 g/cm3. The density of states at the Fermi level comes out at 1.9315 states/eV/atom. The value obtained for the formation energy from raw total energies is 125.5 kJ per mole of atoms. As for the distance to the lowest polymorph of the same formula: 0.0 meV per atom. The electronic total energy comes out at -5.11 eV/atom.

=====

Entry 6:
First-principles (PBE-GGA) data for an optimized crystal structure of CdOs, as listed in Alexandria via LeMat-Bulk.

The structure belongs to space group Pmma (No. 51); the cell edges are 4.520, 2.892 and 5.316 Å and the angles 90.00°, 90.00° and 90.00°. The inequivalent atoms are Cd at (0.250, 0.000, 0.144) and Os at (0.250, 0.500, 0.609).

As for the mass density: 14.5 g/cm3. As for the formation energy: 683.5 meV per atom. The density of states at the Fermi level comes out at 0.9419 states/eV/atom. The electronic total energy comes out at -5.39 eV/atom.

=====

Entry 7:
First-principles (PBE-GGA) data for an optimized crystal structure of ScTi2Re2, as listed in Alexandria via LeMat-Bulk.

The structure belongs to space group P4/mbm (No. 127); the cell edges are 7.486, 7.486 and 3.063 Å and the angles 90.00°, 90.00° and 90.00°. The inequivalent atoms are Sc at (0.000, 0.000, 0.000), Ti at (0.145, 0.355, 0.500) and Re at (0.151, 0.651, 0.000).

As for the mass density: 9.9 g/cm3. As for the formation energy: -38.8 meV per atom. The density of states at the Fermi level comes out at 1.4237 states/eV/atom. The electronic total energy comes out at -9.44 eV/atom.

=====

Entry 8:
First-principles (PBE-GGA) data for an optimized crystal structure of In4BiH2, as listed in Alexandria via LeMat-Bulk.

The structure belongs to space group C2/m (No. 12); the cell edges are 9.103, 5.260 and 7.314 Å and the angles 90.00°, 90.15° and 90.00°. The inequivalent atoms are In at (0.166, 0.000, 0.270), In at (0.167, 0.000, 0.731), Bi at (0.000, 0.500, 0.500) and H at (0.167, 0.000, 0.001).

As for the mass density: 6.4 g/cm3. The density of states at the Fermi level comes out at 0.3799 states/eV/atom. The electronic total energy comes out at -2.85 eV/atom.

=====

> Which of these has the highest mass density?

CdOs

=====

> Among the records above, which one has the highest mass density?

CdOs

=====

> mass density of number 7 (ScTi2Re2)?

9.9 g/cm3